[1]
Material: CrRu
Method: DFT, PBE
State: optimized geometry

```
data_CrRu
_symmetry_space_group_name_H-M 'P m -3 n'
_symmetry_Int_Tables_number 223
_symmetry_space_group_name_Hall '-P 4n 2 3'
_cell_length_a 6.5927
_cell_length_b 6.5927
_cell_length_c 6.5927
_cell_angle_alpha 90.00
_cell_angle_beta 90.00
_cell_angle_gamma 90.00
loop_
_atom_site_label
_atom_site_type_symbol
_atom_site_fract_x
_atom_site_fract_y
_atom_site_fract_z
Cr1 Cr 0.0000 0.2500 0.5000
Ru1 Ru 0.0000 0.5000 0.2500
```

Values from the calculation:
- crystal system = cubic
- E_tot (eV per atom) = -7.868
- calculated volume (Å³/atom) = 23.88


[2]
Material: Cr2Ru5
Method: DFT, PBE
State: optimized geometry

```
data_Cr2Ru5
_symmetry_space_group_name_H-M 'C 1 2/c 1'
_symmetry_Int_Tables_number 15
_cell_length_a 11.7319
_cell_length_b 4.6659
_cell_length_c 6.8507
_cell_angle_alpha 90.00
_cell_angle_beta 95.22
_cell_angle_gamma 90.00
loop_
_symmetry_equiv_pos_as_xyz
'x,y,z'
'-x,-y,-z'
'-x,y,-z+1/2'
'x,-y,z+1/2'
'x+1/2,y+1/2,z'
'-x+1/2,-y+1/2,-z'
'-x+1/2,y+1/2,-z+1/2'
'x+1/2,-y+1/2,z+1/2'
loop_
_atom_site_label
_atom_site_type_symbol
_atom_site_fract_x
_atom_site_fract_y
_atom_site_fract_z
Cr1 Cr 0.0703 0.1603 0.1076
Ru1 Ru 0.0000 0.3237 0.7500
Ru2 Ru 0.1407 0.3276 0.4623
Ru3 Ru 0.2127 0.1629 0.8192
```

Values from the calculation:
- crystal system = monoclinic
- E_tot (eV per atom) = -9.362
- calculated volume (Å³/atom) = 13.34


[3]
Material: CrRu
Method: DFT, PBE
State: optimized geometry

```
data_CrRu
_symmetry_space_group_name_H-M 'P 21 21 21'
_symmetry_Int_Tables_number 19
_cell_length_a 5.0712
_cell_length_b 5.1280
_cell_length_c 8.0598
_cell_angle_alpha 90.00
_cell_angle_beta 90.00
_cell_angle_gamma 90.00
loop_
_symmetry_equiv_pos_as_xyz
'x,y,z'
'-x+1/2,-y,z+1/2'
'x+1/2,-y+1/2,-z'
'-x,y+1/2,-z+1/2'
loop_
_atom_site_label
_atom_site_type_symbol
_atom_site_fract_x
_atom_site_fract_y
_atom_site_fract_z
Cr1 Cr 0.0606 0.1100 0.2453
Cr2 Cr 0.1965 0.7092 0.0174
Ru1 Ru 0.0592 0.5244 0.7507
Ru2 Ru 0.2023 0.8121 0.4783
```

Values from the calculation:
- crystal system = orthorhombic
- E_tot (eV per atom) = -9.297
- calculated volume (Å³/atom) = 13.10


[4]
Material: Cr5Ru
Method: DFT, PBE
State: optimized geometry

```
data_Cr5Ru
_symmetry_space_group_name_H-M 'F -4 3 m'
_symmetry_Int_Tables_number 216
_symmetry_space_group_name_Hall 'F -4 2 3'
_cell_length_a 6.6630
_cell_length_b 6.6630
_cell_length_c 6.6630
_cell_angle_alpha 90.00
_cell_angle_beta 90.00
_cell_angle_gamma 90.00
loop_
_atom_site_label
_atom_site_type_symbol
_atom_site_fract_x
_atom_site_fract_y
_atom_site_fract_z
Cr1 Cr 0.0000 0.0000 0.0000
Cr2 Cr 0.1261 0.1261 0.6261
Ru1 Ru 0.2500 0.2500 0.2500
```

Values from the calculation:
- crystal system = cubic
- E_tot (eV per atom) = -9.414
- calculated volume (Å³/atom) = 12.33


Copy entry 2 word for word.
Material: Cr2Ru5
Method: DFT, PBE
State: optimized geometry

```
data_Cr2Ru5
_symmetry_space_group_name_H-M 'C 1 2/c 1'
_symmetry_Int_Tables_number 15
_cell_length_a 11.7319
_cell_length_b 4.6659
_cell_length_c 6.8507
_cell_angle_alpha 90.00
_cell_angle_beta 95.22
_cell_angle_gamma 90.00
loop_
_symmetry_equiv_pos_as_xyz
'x,y,z'
'-x,-y,-z'
'-x,y,-z+1/2'
'x,-y,z+1/2'
'x+1/2,y+1/2,z'
'-x+1/2,-y+1/2,-z'
'-x+1/2,y+1/2,-z+1/2'
'x+1/2,-y+1/2,z+1/2'
loop_
_atom_site_label
_atom_site_type_symbol
_atom_site_fract_x
_atom_site_fract_y
_atom_site_fract_z
Cr1 Cr 0.0703 0.1603 0.1076
Ru1 Ru 0.0000 0.3237 0.7500
Ru2 Ru 0.1407 0.3276 0.4623
Ru3 Ru 0.2127 0.1629 0.8192
```

Values from the calculation:
- crystal system = monoclinic
- E_tot (eV per atom) = -9.362
- calculated volume (Å³/atom) = 13.34